No. 1
YP3Rh: optimized geometry, PBE-GGA.

Results
crystal system: cubic
E above lowest polymorph: 1277.5 meV/atom
total DFT energy (no corrections): -23.93 eV for the cell shown
V: 27.21 Å³/atom

extended XYZ file:
```
5
Lattice="5.143 0.000 0.000 0.000 5.143 0.000 0.000 0.000 5.143" Properties=species:S:1:pos:R:3 pbc="T T T"
Y 0.000 0.000 0.000
P 0.000 0.000 2.572
P 0.000 2.572 0.000
P 2.572 0.000 0.000
Rh 2.572 2.572 2.572
```

=====

No. 2
ScTc2Se: optimized geometry, PBE-GGA.

Results
crystal system: orthorhombic
raw formation energy: 78 meV per atom
total DFT energy (no corrections): -30.24 eV for the cell shown
V: 16.83 Å³/atom

extended XYZ file:
```
4
Lattice="3.050 0.000 0.000 0.000 4.271 0.000 0.000 0.000 5.168" Properties=species:S:1:pos:R:3 pbc="T T T"
Sc 0.000 0.000 0.000
Tc 1.525 2.135 1.407
Tc 1.525 2.135 3.760
Se 0.000 0.000 2.584
```

=====

No. 3
Pm3Nd2NpN6: optimized geometry, PBE-GGA.

Results
crystal system: monoclinic
raw formation energy: -1389 meV per atom
total DFT energy (no corrections): -103.34 eV for the cell shown
V: 16.24 Å³/atom

extended XYZ file:
```
12
Lattice="3.107 -5.378 0.000 3.107 5.378 0.000 -2.073 0.000 5.833" Properties=species:S:1:pos:R:3 pbc="T T T"
Pm 0.000 0.000 0.000
Pm 3.107 1.788 0.000
Pm 3.107 -1.788 0.000
Nd 2.070 3.588 2.916
Nd 2.070 -3.588 2.916
Np 2.070 0.000 2.916
N 1.129 1.630 1.554
N 0.176 0.000 4.296
N 1.129 -1.630 1.554
N 3.012 1.630 4.279
N 3.964 0.000 1.537
N 3.012 -1.630 4.279
```

=====

No. 4
CoNi14Ge: optimized geometry, PBE-GGA.

Results
crystal system: orthorhombic
total DFT energy (no corrections): -93.27 eV for the cell shown
V: 11.03 Å³/atom

extended XYZ file:
```
16
Lattice="8.172 0.000 0.000 0.000 2.494 4.328 0.000 -2.494 4.328" Properties=species:S:1:pos:R:3 pbc="T T T"
Co 0.000 0.000 0.000
Ni 0.000 -1.253 6.477
Ni 0.000 1.253 6.477
Ni 2.045 -1.255 3.597
Ni 2.045 1.255 3.597
Ni 2.055 0.000 1.427
Ni 2.055 0.000 5.765
Ni 4.086 0.000 2.879
Ni 4.086 -1.243 5.040
Ni 4.086 1.243 5.040
Ni 4.086 0.000 7.207
Ni 6.116 0.000 5.765
Ni 6.117 0.000 1.427
Ni 6.127 -1.255 3.597
Ni 6.127 1.255 3.597
Ge 0.000 0.000 4.321
```